# 1
# RbPm3Pu2Te6 (PBE, relaxed)
data_RbPm3Pu2Te6
_chemical_formula_sum 'Rb2 Pm6 Pu4 Te12'
_symmetry_space_group_name_H-M 'C 1 2/m 1'
_symmetry_Int_Tables_number 12
_symmetry_space_group_name_Hall '-C 2y'
_cell_length_a 19.887
_cell_length_b 4.482
_cell_length_c 9.241
_cell_angle_alpha 90.00
_cell_angle_beta 103.90
_cell_angle_gamma 90.00
loop_
_atom_site_label
_atom_site_fract_x
_atom_site_fract_y
_atom_site_fract_z
Rb1 0.000 0.000 0.000
Pm1 0.000 0.000 0.500
Pm2 0.163 0.500 0.828
Pu1 0.169 0.500 0.336
Te1 0.002 0.500 0.269
Te2 0.167 0.000 0.581
Te3 0.174 0.000 0.087
# Calculated volume: 33.31 Å³ per atom
# Formation energy without anion corrections: -15.00 eV per formula unit
# Total magnetization: 12.04 μB/f.u.



# 2
# LiHgCl3 (PBE, relaxed)
data_LiHgCl3
_chemical_formula_sum 'Li4 Hg4 Cl12'
_symmetry_space_group_name_H-M 'C m c 21'
_symmetry_Int_Tables_number 36
_symmetry_space_group_name_Hall 'C 2c -2'
_cell_length_a 4.261
_cell_length_b 19.514
_cell_length_c 6.532
_cell_angle_alpha 90.00
_cell_angle_beta 90.00
_cell_angle_gamma 90.00
loop_
_atom_site_label
_atom_site_fract_x
_atom_site_fract_y
_atom_site_fract_z
Li1 0.000 0.131 0.000
Hg1 0.000 0.345 0.032
Cl1 0.000 0.095 0.346
Cl2 0.000 0.240 0.820
Cl3 0.000 0.411 0.355
# Calculated volume: 27.16 Å³ per atom
# Formation energy without anion corrections: -5.27 eV per formula unit
# Total magnetization: 0.00 μB/f.u.



# 3
# AcPaPt4 (PBE, relaxed)
data_AcPaPt4
_chemical_formula_sum 'Ac4 Pa4 Pt16'
_symmetry_space_group_name_H-M 'F -4 3 m'
_symmetry_Int_Tables_number 216
_symmetry_space_group_name_Hall 'F -4 2 3'
_cell_length_a 7.848
_cell_length_b 7.848
_cell_length_c 7.848
_cell_angle_alpha 90.00
_cell_angle_beta 90.00
_cell_angle_gamma 90.00
loop_
_atom_site_label
_atom_site_fract_x
_atom_site_fract_y
_atom_site_fract_z
Ac1 0.000 0.000 0.000
Pa1 0.250 0.250 0.750
Pt1 0.124 0.124 0.376
# Formation energy from the elements: -5.01 eV per formula unit
# Calculated volume: 20.14 Å³ per atom
# Total magnetization: 0.00 μB/f.u.



# 4
# YPa4P5 (PBE, relaxed)
data_YPa4P5
_chemical_formula_sum 'Y2 Pa8 P10'
_symmetry_space_group_name_H-M 'I 4/m'
_symmetry_Int_Tables_number 87
_symmetry_space_group_name_Hall '-I 4'
_cell_length_a 8.885
_cell_length_b 8.885
_cell_length_c 5.617
_cell_angle_alpha 90.00
_cell_angle_beta 90.00
_cell_angle_gamma 90.00
loop_
_atom_site_label
_atom_site_fract_x
_atom_site_fract_y
_atom_site_fract_z
Y1 0.000 0.000 0.000
Pa1 0.101 0.299 0.500
P1 0.000 0.000 0.500
P2 0.100 0.301 0.000
# Formation energy from the elements: -13.80 eV per formula unit
# Calculated volume: 22.17 Å³ per atom
# Total magnetization: 0.00 μB/f.u.



# 5
# MgCdFeH6 (PBE, relaxed)
data_MgCdFeH6
_chemical_formula_sum 'Mg2 Cd2 Fe2 H12'
_symmetry_space_group_name_H-M 'P -3 1 c'
_symmetry_Int_Tables_number 163
_symmetry_space_group_name_Hall '-P 3 2c'
_cell_length_a 4.6861
_cell_length_b 4.6861
_cell_length_c 8.1512
_cell_angle_alpha 90.00
_cell_angle_beta 90.00
_cell_angle_gamma 120.00
loop_
_atom_site_label
_atom_site_fract_x
_atom_site_fract_y
_atom_site_fract_z
Mg1 0.0000 0.0000 0.0000
Cd1 0.3333 0.6667 0.2500
Fe1 0.3333 0.6667 0.7500
H1 0.0920 0.3980 0.6235
# Energy: -3.45 eV per atom
# Calculated volume: 8.61 Å³ per atom
# Total magnetization: 0.02 μB/f.u.



# 6
# TlGaAgPt (PBE, relaxed)
data_TlGaAgPt
_chemical_formula_sum 'Tl1 Ga1 Ag1 Pt1'
_symmetry_space_group_name_H-M 'P 1'
_symmetry_Int_Tables_number 1
_symmetry_space_group_name_Hall 'P 1'
_cell_length_a 2.967
_cell_length_b 3.477
_cell_length_c 8.227
_cell_angle_alpha 101.84
_cell_angle_beta 99.35
_cell_angle_gamma 90.03
loop_
_atom_site_label
_atom_site_fract_x
_atom_site_fract_y
_atom_site_fract_z
Tl1 0.000 0.000 0.000
Ga1 0.217 0.205 0.354
Ag1 0.395 0.387 0.740
Pt1 0.785 0.777 0.503
# Formation energy from the elements: -0.48 eV per formula unit
# Calculated volume: 20.48 Å³ per atom
# Total magnetization: 0.00 μB/f.u.



# 7
# LiTbSnOs (PBE, relaxed)
data_LiTbSnOs
_chemical_formula_sum 'Li4 Tb4 Sn4 Os4'
_symmetry_space_group_name_H-M 'F -4 3 m'
_symmetry_Int_Tables_number 216
_symmetry_space_group_name_Hall 'F -4 2 3'
_cell_length_a 6.708
_cell_length_b 6.708
_cell_length_c 6.708
_cell_angle_alpha 90.00
_cell_angle_beta 90.00
_cell_angle_gamma 90.00
loop_
_atom_site_label
_atom_site_fract_x
_atom_site_fract_y
_atom_site_fract_z
Li1 0.000 0.000 0.000
Tb1 0.250 0.250 0.250
Sn1 0.250 0.250 0.750
Os1 0.000 0.000 0.500
# Formation energy from the elements: -0.96 eV per formula unit
# Calculated volume: 18.87 Å³ per atom
# Total magnetization: 0.00 μB/f.u.



# 8
# NaInNi2 (PBE, relaxed)
data_NaInNi2
_chemical_formula_sum 'Na4 In4 Ni8'
_symmetry_space_group_name_H-M 'I -4 2 d'
_symmetry_Int_Tables_number 122
_symmetry_space_group_name_Hall 'I -4 2bw'
_cell_length_a 7.175
_cell_length_b 7.175
_cell_length_c 5.531
_cell_angle_alpha 90.00
_cell_angle_beta 90.00
_cell_angle_gamma 90.00
loop_
_atom_site_label
_atom_site_fract_x
_atom_site_fract_y
_atom_site_fract_z
Na1 0.000 0.000 0.000
In1 0.000 0.000 0.500
Ni1 0.230 0.250 0.625
# Formation energy from the elements: 1.98 eV per formula unit
# Calculated volume: 17.80 Å³ per atom
# Total magnetization: 0.00 μB/f.u.



# 9
# CuNi2Br (PBE, relaxed)
data_CuNi2Br
_chemical_formula_sum 'Cu1 Ni2 Br1'
_symmetry_space_group_name_H-M 'P 1 2/m 1'
_symmetry_Int_Tables_number 10
_symmetry_space_group_name_Hall '-P 2y'
_cell_length_a 3.944
_cell_length_b 3.094
_cell_length_c 4.933
_cell_angle_alpha 90.00
_cell_angle_beta 108.34
_cell_angle_gamma 90.00
loop_
_atom_site_label
_atom_site_fract_x
_atom_site_fract_y
_atom_site_fract_z
Cu1 0.000 0.000 0.000
Ni1 0.000 0.000 0.500
Ni2 0.500 0.500 0.000
Br1 0.500 0.500 0.500
# Calculated volume: 14.28 Å³ per atom
# Formation energy without anion corrections: 2.14 eV per formula unit
# Total magnetization: 0.00 μB/f.u.



# 10
# Tl2Cd9In3 (PBE, relaxed)
data_Tl2Cd9In3
_chemical_formula_sum 'Tl8 Cd36 In12'
_symmetry_space_group_name_H-M 'C m c m'
_symmetry_Int_Tables_number 63
_symmetry_space_group_name_Hall '-C 2c 2'
_cell_length_a 14.977
_cell_length_b 8.719
_cell_length_c 11.092
_cell_angle_alpha 90.00
_cell_angle_beta 90.00
_cell_angle_gamma 90.00
loop_
_atom_site_label
_atom_site_fract_x
_atom_site_fract_y
_atom_site_fract_z
Tl1 0.165 0.164 0.250
Cd1 0.000 0.135 0.750
Cd2 0.000 0.329 0.085
Cd3 0.102 0.441 0.750
Cd4 0.168 0.168 0.593
In1 0.000 0.000 0.000
In2 0.173 0.500 0.000
# Formation energy from the elements: 0.54 eV per formula unit
# Calculated volume: 25.86 Å³ per atom
# Total magnetization: 0.00 μB/f.u.



# 11
# BeZnTe2 (PBE, relaxed)
data_BeZnTe2
_chemical_formula_sum 'Be3 Zn3 Te6'
_symmetry_space_group_name_H-M 'R 3 m'
_symmetry_Int_Tables_number 160
_symmetry_space_group_name_Hall 'R 3 -2"'
_cell_length_a 4.1899
_cell_length_b 4.1899
_cell_length_c 29.7100
_cell_angle_alpha 90.00
_cell_angle_beta 90.00
_cell_angle_gamma 120.00
loop_
_atom_site_label
_atom_site_fract_x
_atom_site_fract_y
_atom_site_fract_z
Be1 0.0000 0.0000 0.0000
Zn1 0.0000 0.0000 0.1808
Te1 0.0000 0.0000 0.4905
Te2 0.0000 0.0000 0.6661
# Calculated volume: 37.64 Å³ per atom
# Formation energy without anion corrections: -0.49 eV per formula unit
# Total magnetization: 0.00 μB/f.u.